Record 1
Computed, not measured: a geometry-optimized Ac2NiGePt6 structure at the PBE level of DFT.

a b c (Å): 6.7012 6.7012 8.4541
angles (deg): 127.88 127.88 48.96
With the nearest neighbours (Å) after each atom.
Positions (direct):
Ac  0.2381  0.2381  0.1981  9 Pt 3.16-3.50, 2 Ni 3.52
Ac  0.7619  0.7619  0.8019  9 Pt 3.16-3.50, 2 Ni 3.52
Ni  0.5000  0.5000  0.0000  6 Pt 2.54
Ge  0.0000  0.0000  0.5000  6 Pt 2.52
Pt  0.2474  0.7376  0.7384  1 Ge 2.52, 1 Ni 2.54, 3 Pt 2.72-2.79
Pt  0.2521  0.2521  0.6148  1 Ge 2.52, 1 Ni 2.54, 4 Pt 2.72-2.79
Pt  0.2624  0.7526  0.2616  1 Ge 2.52, 1 Ni 2.54, 3 Pt 2.72-2.79
Pt  0.7376  0.2474  0.7384  1 Ge 2.52, 1 Ni 2.54, 3 Pt 2.72-2.79
Pt  0.7479  0.7479  0.3852  1 Ge 2.52, 1 Ni 2.54, 4 Pt 2.72-2.79
Pt  0.7526  0.2624  0.2616  1 Ge 2.52, 1 Ni 2.54, 3 Pt 2.72-2.79

Calculated values
The density of states at the Fermi level comes out at 5.15 states/eV/cell. The formation energy comes out at -798 meV/atom.

=====

Record 2
Computed, not measured: a geometry-optimized Ac2Ni4Ge3Pt structure at the PBE level of DFT.

a b c (Å): 4.2859 4.2859 10.0285
angles (deg): 90.00 90.00 90.00
With the nearest neighbours (Å) after each atom.
Positions (direct):
Ac  0.0000  0.5000  0.2484  8 Ni 3.23-3.31, 6 Ge 3.29-3.32, 2 Pt 3.29
Ac  0.5000  0.0000  0.7516  8 Ni 3.23-3.31, 6 Ge 3.29-3.32, 2 Pt 3.29
Ni  0.0000  0.0000  0.5000  4 Ge 2.44
Ni  0.0000  0.5000  0.8615  3 Ge 2.46-2.55, 2 Pt 2.55
Ni  0.5000  0.0000  0.1385  3 Ge 2.46-2.55, 2 Pt 2.55
Ni  0.5000  0.5000  0.5000  4 Ge 2.44
Ge  0.0000  0.0000  0.0000  4 Ni 2.55
Ge  0.0000  0.5000  0.6165  5 Ni 2.44-2.46
Ge  0.5000  0.0000  0.3835  5 Ni 2.44-2.46
Pt  0.5000  0.5000  0.0000  4 Ni 2.55

Calculated values
The density of states at the Fermi level comes out at 6.52 states/eV/cell. The formation energy comes out at -596 meV/atom.

=====

Record 3
Computed, not measured: a geometry-optimized AcNiGePt6 structure at the PBE level of DFT.

a b c (Å): 8.1027 8.1027 8.1027
angles (deg): 122.57 117.61 89.89
With the nearest neighbours (Å) after each atom.
Positions (direct):
Ac  0.3789  0.1289  0.2500  6 Pt 2.94-3.00
Ac  0.6211  0.8711  0.7500  6 Pt 2.94-3.00
Ni  0.0000  0.0000  0.5000  6 Pt 2.40-2.44
Ni  0.0000  0.5000  0.0000  6 Pt 2.40-2.44
Ge  0.0000  0.5000  0.5000  6 Pt 2.41-2.45
Ge  0.5000  0.5000  0.0000  6 Pt 2.41-2.45
Pt  0.1118  0.3785  0.2382  1 Ge 2.41, 1 Ni 2.44
Pt  0.1118  0.8737  0.7334  1 Ge 2.41, 1 Ni 2.44
Pt  0.1227  0.8727  0.2500  2 Ni 2.40
Pt  0.3597  0.1263  0.7382  1 Ge 2.41, 1 Ni 2.44
Pt  0.3596  0.6096  0.7500  2 Ge 2.45
Pt  0.3597  0.6215  0.2334  1 Ge 2.41, 1 Ni 2.44
Pt  0.6403  0.3785  0.7666  1 Ge 2.41, 1 Ni 2.44
Pt  0.6404  0.3904  0.2500  2 Ge 2.45
Pt  0.6403  0.8737  0.2619  1 Ge 2.41, 1 Ni 2.44
Pt  0.8773  0.1273  0.7500  2 Ni 2.40
Pt  0.8882  0.1263  0.2666  1 Ge 2.41, 1 Ni 2.44
Pt  0.8882  0.6215  0.7618  1 Ge 2.41, 1 Ni 2.44

Calculated values
The density of states at the Fermi level comes out at 13.84 states/eV/cell. The formation energy comes out at -218 meV/atom.

=====

Record 4
Computed, not measured: a geometry-optimized Ac2NiGe4Pt3 structure at the PBE level of DFT.

a b c (Å): 4.4617 4.4617 10.1780
angles (deg): 90.00 90.00 90.00
With the nearest neighbours (Å) after each atom.
Positions (direct):
Ac  0.0000  0.5000  0.2474  2 Ni 3.36, 6 Pt 3.36-3.40, 9 Ge 3.40-3.74
Ac  0.5000  0.0000  0.7526  2 Ni 3.36, 6 Pt 3.36-3.40, 9 Ge 3.40-3.74
Ni  0.5000  0.5000  0.0000  4 Ge 2.54
Ge  0.0000  0.0000  0.5000  4 Pt 2.58
Ge  0.0000  0.5000  0.8802  2 Ni 2.54, 3 Pt 2.54-2.57
Ge  0.5000  0.0000  0.1198  2 Ni 2.54, 3 Pt 2.54-2.57
Ge  0.5000  0.5000  0.5000  4 Pt 2.58
Pt  0.0000  0.0000  0.0000  4 Ge 2.54
Pt  0.0000  0.5000  0.6278  5 Ge 2.57-2.58
Pt  0.5000  0.0000  0.3722  5 Ge 2.57-2.58

Calculated values
The density of states at the Fermi level comes out at 6.78 states/eV/cell. The formation energy comes out at -867 meV/atom.

=====

Record 5
Computed, not measured: a geometry-optimized Ac2PuNi4Ge3 structure at the PBE level of DFT.

a b c (Å): 4.3473 4.3473 10.2954
angles (deg): 90.00 90.00 90.00
With the nearest neighbours (Å) after each atom.
Positions (direct):
Ac  0.0000  0.5000  0.2311  8 Ni 3.22-3.31, 7 Ge 3.30-3.55, 2 Pu 3.52
Ac  0.5000  0.0000  0.7689  8 Ni 3.22-3.31, 7 Ge 3.30-3.55, 2 Pu 3.52
Pu  0.0000  0.0000  0.5000  4 Ni 2.66
Ni  0.0000  0.0000  0.0000  4 Ge 2.47
Ni  0.0000  0.5000  0.6485  3 Ge 2.45-2.66, 2 Pu 2.66
Ni  0.5000  0.0000  0.3515  3 Ge 2.45-2.66, 2 Pu 2.66
Ni  0.5000  0.5000  0.0000  4 Ge 2.47
Ge  0.0000  0.5000  0.8865  5 Ni 2.45-2.47
Ge  0.5000  0.0000  0.1135  5 Ni 2.45-2.47
Ge  0.5000  0.5000  0.5000  4 Ni 2.66

Calculated values
The density of states at the Fermi level comes out at 11.38 states/eV/cell. The formation energy comes out at -520 meV/atom.

=====

Record 6
Computed, not measured: a geometry-optimized AcPu2Ni2Ge2 structure at the PBE level of DFT.

a b c (Å): 9.5445 9.5445 9.5445
angles (deg): 24.82 24.82 24.82
With the nearest neighbours (Å) after each atom.
Positions (direct):
Ac  0.0000  0.0000  0.0000  6 Ge 3.20
Pu  0.1533  0.1533  0.1533  3 Pu 2.48, 3 Ni 2.77
Pu  0.8467  0.8467  0.8467  3 Pu 2.48, 3 Ni 2.77
Ni  0.4350  0.4350  0.4350  3 Ge 2.46
Ni  0.5650  0.5650  0.5650  3 Ge 2.46
Ge  0.2557  0.2557  0.2557  3 Ni 2.46
Ge  0.7443  0.7443  0.7443  3 Ni 2.46

Calculated values
The density of states at the Fermi level comes out at 9.79 states/eV/cell. The formation energy comes out at -329 meV/atom.

=====

Record 7
Computed, not measured: a geometry-optimized Ac2NiGe3Rh4 structure at the PBE level of DFT.

a b c (Å): 4.3110 4.3110 10.4144
angles (deg): 90.00 90.00 90.00
With the nearest neighbours (Å) after each atom.
Positions (direct):
Ac  0.0000  0.5000  0.2420  8 Rh 3.27-3.44, 6 Ge 3.32-3.35, 2 Ni 3.32
Ac  0.5000  0.0000  0.7580  8 Rh 3.27-3.44, 6 Ge 3.32-3.35, 2 Ni 3.32
Ni  0.5000  0.5000  0.0000  4 Rh 2.54
Ge  0.0000  0.0000  0.0000  4 Rh 2.54
Ge  0.0000  0.5000  0.6256  5 Rh 2.52-2.55
Ge  0.5000  0.0000  0.3744  5 Rh 2.52-2.55
Rh  0.0000  0.0000  0.5000  4 Ge 2.52
Rh  0.0000  0.5000  0.8706  3 Ge 2.54-2.55, 2 Ni 2.54
Rh  0.5000  0.0000  0.1294  3 Ge 2.54-2.55, 2 Ni 2.54
Rh  0.5000  0.5000  0.5000  4 Ge 2.52

Calculated values
The density of states at the Fermi level comes out at 7.46 states/eV/cell. The formation energy comes out at -737 meV/atom.

=====

Record 8
Computed, not measured: a geometry-optimized AcNiGe2Rh5 structure at the PBE level of DFT.

a b c (Å): 4.6715 4.6715 7.3844
angles (deg): 90.00 90.00 90.00
With the nearest neighbours (Å) after each atom.
Positions (direct):
Ac  0.0000  0.0000  0.0000  12 Rh 3.22-3.30
Ni  0.0000  0.0000  0.5000  8 Rh 2.76
Ge  0.5000  0.5000  0.3276  5 Rh 2.34-2.42, 1 Ge 2.55
Ge  0.5000  0.5000  0.6724  5 Rh 2.34-2.42, 1 Ge 2.55
Rh  0.0000  0.5000  0.3006  2 Ge 2.34
Rh  0.0000  0.5000  0.6994  2 Ge 2.34
Rh  0.5000  0.0000  0.3006  2 Ge 2.34
Rh  0.5000  0.0000  0.6994  2 Ge 2.34
Rh  0.5000  0.5000  0.0000  2 Ge 2.42

Calculated values
The density of states at the Fermi level comes out at 7.50 states/eV/cell. The formation energy comes out at -136 meV/atom.